YSi2SnAs PBE relaxed; energy above the lowest structure with this stoichiometry = 504 meV per atom; symmetry = P4/mmm (123)
1.0
4.939 0.000 0.000
0.000 5.910 0.000
0.000 0.000 4.939
Y As Si Sn
1 1 2 1
direct
0.000 0.500 0.000 Y
0.500 0.500 0.500 As
0.000 0.000 0.500 Si
0.500 0.000 0.000 Si
0.000 0.000 0.000 Sn



Zr2SiSnAs PBE relaxed; symmetry = P4/mmm (123)
1.0
-4.699 1.717 -1.974
-2.033 -4.418 0.995
-1.413 1.749 4.885
As Si Sn Zr
1 1 1 2
direct
0.000 0.500 0.000 As
0.500 0.500 0.500 Si
0.000 0.000 0.000 Sn
0.000 0.000 0.500 Zr
0.500 0.000 0.000 Zr



SrSiAs4 PBE relaxed; symmetry = F-43m (216)
1.0
0.000 4.055 4.055
4.055 0.000 4.055
4.055 4.055 0.000
Sr Si As
1 1 4
direct
0.000 0.000 0.000 Sr
0.750 0.750 0.750 Si
0.857 0.381 0.381 As
0.381 0.381 0.857 As
0.381 0.857 0.381 As
0.381 0.381 0.381 As



SrSiAs2 PBE relaxed; symmetry = C2/m (12)
1.0
4.018 -0.001 0.000
-0.002 6.870 0.240
-2.008 -3.126 7.154
Sr Si As
2 2 4
direct
0.697 0.694 0.968 Sr
0.964 0.866 0.503 Sr
0.226 0.171 0.026 Si
0.435 0.389 0.445 Si
0.345 0.027 0.264 As
0.032 0.450 0.639 As
0.629 0.109 0.832 As
0.315 0.533 0.207 As



Sr2SiAs PBE relaxed; energy above the lowest structure with this stoichiometry = 6 meV per atom; symmetry = P4/mmm (123)
1.0
5.096 0.000 0.000
0.000 4.227 0.002
0.000 -0.002 5.093
As Si Sr
1 1 2
direct
0.000 0.625 0.375 As
0.500 0.625 0.875 Si
0.000 0.125 0.875 Sr
0.500 0.125 0.375 Sr



SrSiAs PBE relaxed; symmetry = F-43m (216)
1.0
4.995 0.000 0.000
2.497 4.325 0.000
2.497 1.442 4.078
As Si Sr
1 1 1
direct
0.000 0.000 0.000 As
0.500 0.500 0.500 Si
0.750 0.750 0.750 Sr



Sr2SiAs PBE relaxed; energy above the lowest structure with this stoichiometry = 160 meV per atom; symmetry = I-4m2 (119)
1.0
6.472 0.001 0.000
3.368 5.527 0.000
-4.920 -2.764 3.169
As Si Sr
1 1 2
direct
0.500 0.500 0.000 As
0.750 0.250 0.500 Si
0.000 0.000 0.000 Sr
0.250 0.750 0.500 Sr



Sr3Si2As4 PBE relaxed; energy above the lowest structure with this stoichiometry = 104 meV per atom; symmetry = C2/c (15)
1.0
7.643 0.141 -0.263
-0.279 7.551 -4.064
0.298 -0.164 8.732
Sr Si As
6 4 8
direct
0.114 0.769 0.746 Sr
0.386 0.023 0.254 Sr
0.886 0.231 0.254 Sr
0.614 0.977 0.746 Sr
0.750 0.510 0.000 Sr
0.250 0.490 0.000 Sr
0.509 0.538 0.382 Si
0.991 0.156 0.618 Si
0.491 0.462 0.618 Si
0.009 0.844 0.382 Si
0.498 0.720 0.889 As
0.002 0.831 0.111 As
0.502 0.280 0.111 As
0.998 0.169 0.889 As
0.822 0.649 0.440 As
0.678 0.209 0.560 As
0.178 0.351 0.560 As
0.322 0.791 0.440 As



SrSiAs2 PBE relaxed; symmetry = P4/mmm (123)
1.0
-0.154 -3.836 -0.225
2.647 -0.269 2.777
-4.499 -0.070 4.282
As Si Sr
2 1 1
direct
0.000 0.000 0.052 As
0.000 0.000 0.448 As
0.500 0.500 0.250 Si
0.500 0.500 0.750 Sr



SrSiAs2 PBE relaxed; symmetry = C2/c (15)
1.0
7.599 -0.018 0.934
-0.052 7.599 0.934
0.083 0.083 14.508
Sr Si As
8 8 16
direct
0.658 0.755 0.880 Sr
0.245 0.342 0.620 Sr
0.342 0.245 0.120 Sr
0.755 0.658 0.380 Sr
0.189 0.847 0.606 Sr
0.153 0.811 0.894 Sr
0.811 0.153 0.394 Sr
0.847 0.189 0.106 Sr
0.419 0.295 0.838 Si
0.705 0.581 0.662 Si
0.581 0.705 0.162 Si
0.295 0.419 0.338 Si
0.708 0.086 0.659 Si
0.914 0.292 0.841 Si
0.292 0.914 0.341 Si
0.086 0.708 0.159 Si
0.639 0.314 0.939 As
0.686 0.361 0.561 As
0.361 0.686 0.061 As
0.314 0.639 0.439 As
0.432 0.046 0.753 As
0.954 0.568 0.747 As
0.568 0.954 0.247 As
0.046 0.432 0.253 As
0.765 0.854 0.562 As
0.146 0.235 0.938 As
0.235 0.146 0.438 As
0.854 0.765 0.062 As
0.942 0.058 0.750 As
0.058 0.942 0.250 As
0.416 0.584 0.750 As
0.584 0.416 0.250 As



SrSiAs2 PBE relaxed; symmetry = R-3m (166)
1.0
7.478 -0.008 -0.005
6.468 3.753 -0.005
6.468 1.737 3.327
As Si Sr
2 1 1
direct
0.979 0.979 0.979 As
0.521 0.521 0.521 As
0.250 0.250 0.250 Si
0.750 0.750 0.750 Sr



SrSiAs2 PBE relaxed; symmetry = F-43m (216)
1.0
5.086 0.000 0.000
2.543 4.404 0.000
2.543 1.468 4.152
As Si Sr
2 1 1
direct
0.000 0.000 0.000 As
0.250 0.250 0.250 As
0.500 0.500 0.500 Si
0.750 0.750 0.750 Sr



What total magnetic moment values result from the calculations? In sequence: 0.00, 0.00, 0.00, 0.00, 0.00, 0.00, 0.00, 0.00, 0.00, 0.00, 0.00, 0.00 μB/f.u..
What formation energy without anion corrections values result from the calculations? In sequence: 395, 540, 50, -200, -188, 79, -128, -636, -62, -236, -114, 44 kJ/mol of formula units.